Version A
{"formula": "Sm2ZnCo", "functional": "PBE-GGA", "state": "optimized geometry", "magmom_total_mub_per_atom": 0.1409, "space_group": "P4/mmm, No. 123", "lattice_angstrom": [[3.489, 0.000, 0.000], [0.000, 3.489, 0.000], [0.000, 0.000, 7.297]], "species": ["Zn", "Co", "Sm", "Sm"], "frac_coords": [[0.500, 0.500, 0.500], [0.500, 0.500, 0.000], [0.000, 0.000, 0.770], [0.000, 0.000, 0.230]]}

---

Version B
{"formula": "Sm2ZnCo", "functional": "PBE-GGA", "state": "optimized geometry", "magmom_total_mub_per_atom": 0.0001, "space_group": "Fm-3m, No. 225", "lattice_angstrom": [[4.982, 0.000, 0.000], [2.491, 4.315, 0.000], [2.491, 1.438, 4.068]], "species": ["Zn", "Co", "Sm", "Sm"], "frac_coords": [[0.500, 0.500, 0.500], [0.000, 0.000, 0.000], [0.250, 0.250, 0.250], [0.750, 0.750, 0.750]]}

---

According to the calculations, the structures order from most to least stable as version A, version B.